No. 1
Material: MgTeP2
Method: DFT, GGA-PBE
State: relaxed

For the raw total energy, the calculation gives -30.89 eV for the cell shown. As for the raw formation energy: 0.03 eV/atom.

It has space group I4/mmm (No. 139), with a = 5.521 Å, b = 5.521 Å, c = 5.537 Å, α = 90.00°, β = 90.00° and γ = 90.00°. The distinct sites, in fractional coordinates, are Mg at (0.000, 0.000, 0.000), Te at (0.000, 0.000, 0.500) and P at (0.000, 0.500, 0.000).


No. 2
Material: MgTe3P
Method: DFT, GGA-PBE
State: relaxed

For the raw total energy, the calculation gives -15.15 eV for the cell shown. As for the raw formation energy: 0.26 eV/atom.

It has space group Pm-3m (No. 221), with a = 5.256 Å, b = 5.256 Å, c = 5.256 Å, α = 90.00°, β = 90.00° and γ = 90.00°. The distinct sites, in fractional coordinates, are Mg at (0.000, 0.000, 0.000), Te at (0.000, 0.500, 0.500) and P at (0.500, 0.500, 0.500).


Repeat the first record exactly.
Material: MgTeP2
Method: DFT, GGA-PBE
State: relaxed

For the raw total energy, the calculation gives -30.89 eV for the cell shown. As for the raw formation energy: 0.03 eV/atom.

It has space group I4/mmm (No. 139), with a = 5.521 Å, b = 5.521 Å, c = 5.537 Å, α = 90.00°, β = 90.00° and γ = 90.00°. The distinct sites, in fractional coordinates, are Mg at (0.000, 0.000, 0.000), Te at (0.000, 0.000, 0.500) and P at (0.000, 0.500, 0.000).